{"formula": "KTiB2Mo", "functional": "PBE-GGA", "state": "relaxed", "lattice_angstrom": [[4.3011, 0.0000, 0.0000], [0.0000, 4.3011, 0.0000], [0.0000, 0.0000, 4.5420]], "species": ["K", "Ti", "B", "B", "Mo"], "frac_coords": [[0.0000, 0.0000, 0.0000], [0.5000, 0.5000, 0.5000], [0.0000, 0.5000, 0.0000], [0.5000, 0.0000, 0.0000], [0.0000, 0.0000, 0.5000]], "dos_ef_per_ev_fu": 6.17, "ef_mev_per_atom": 3176, "total_energy_ev_per_cell": -17.3, "magmom_total_mub_per_fu": 0.40}